(1)
# CuSiSb2

CuSiSb2 after structural relaxation (GGA-PBE, Alexandria via LeMat-Bulk).

Results
Energy (eV for the cell shown): -16.77

```
data_CuSiSb2
_cell_length_a 3.554
_cell_length_b 3.554
_cell_length_c 7.078
_cell_angle_alpha 90.00
_cell_angle_beta 90.00
_cell_angle_gamma 90.00
_space_group_name_H-M_alt 'P 4 m m'
_space_group_IT_number 99
loop_
_space_group_symop_operation_xyz
'x,y,z'
'-y,x,z'
'-x,-y,z'
'y,-x,z'
'-x,y,z'
'y,x,z'
'x,-y,z'
'-y,-x,z'
loop_
_atom_site_label
_atom_site_type_symbol
_atom_site_fract_x
_atom_site_fract_y
_atom_site_fract_z
Cu1 Cu 0.000 0.000 0.000
Si1 Si 0.500 0.500 0.810
Sb1 Sb 0.000 0.000 0.626
Sb2 Sb 0.500 0.500 0.185
```



(2)
# Cu2SiSb

Cu2SiSb after structural relaxation (GGA-PBE, Alexandria via LeMat-Bulk).

Results
Offset from the most stable computed form (kJ/mol of formula units): 18

```
data_Cu2SiSb
_cell_length_a 4.486
_cell_length_b 4.176
_cell_length_c 4.510
_cell_angle_alpha 90.00
_cell_angle_beta 118.28
_cell_angle_gamma 90.00
_space_group_name_H-M_alt 'P 1 m 1'
_space_group_IT_number 6
loop_
_space_group_symop_operation_xyz
'x,y,z'
'x,-y,z'
loop_
_atom_site_label
_atom_site_type_symbol
_atom_site_fract_x
_atom_site_fract_y
_atom_site_fract_z
Cu1 Cu 0.000 0.000 0.000
Cu2 Cu 0.284 0.500 0.364
Si1 Si 0.206 0.000 0.605
Sb1 Sb 0.609 0.500 0.025
```



(3)
# Cu2SiSb

Cu2SiSb after structural relaxation (GGA-PBE, Alexandria via LeMat-Bulk).

Results
Offset from the most stable computed form (kJ/mol of formula units): 56

```
data_Cu2SiSb
_cell_length_a 4.017
_cell_length_b 4.493
_cell_length_c 7.401
_cell_angle_alpha 90.00
_cell_angle_beta 90.00
_cell_angle_gamma 90.00
_space_group_name_H-M_alt 'C m m m'
_space_group_IT_number 65
_space_group_name_Hall '-C 2 2'
loop_
_atom_site_label
_atom_site_type_symbol
_atom_site_fract_x
_atom_site_fract_y
_atom_site_fract_z
Cu1 Cu 0.000 0.000 0.194
Si1 Si 0.000 0.500 0.000
Sb1 Sb 0.000 0.500 0.500
```



(4)
# Cu2SiSb

Cu2SiSb after structural relaxation (GGA-PBE, Alexandria via LeMat-Bulk).

Results
Offset from the most stable computed form (kJ/mol of formula units): 35

```
data_Cu2SiSb
_cell_length_a 2.852
_cell_length_b 3.928
_cell_length_c 6.305
_cell_angle_alpha 90.00
_cell_angle_beta 101.58
_cell_angle_gamma 90.00
_space_group_name_H-M_alt 'P 1 2/m 1'
_space_group_IT_number 10
loop_
_space_group_symop_operation_xyz
'x,y,z'
'-x,-y,-z'
'-x,y,-z'
'x,-y,z'
loop_
_atom_site_label
_atom_site_type_symbol
_atom_site_fract_x
_atom_site_fract_y
_atom_site_fract_z
Cu1 Cu 0.189 0.000 0.322
Si1 Si 0.000 0.500 0.500
Sb1 Sb 0.000 0.500 0.000
```



(5)
# CuSiSb3

CuSiSb3 after structural relaxation (GGA-PBE, Alexandria via LeMat-Bulk).

Results
Offset from the most stable computed form (kJ/mol of formula units): 85

```
data_CuSiSb3
_cell_length_a 5.182
_cell_length_b 5.182
_cell_length_c 5.182
_cell_angle_alpha 90.00
_cell_angle_beta 90.00
_cell_angle_gamma 90.00
_space_group_name_H-M_alt 'P m -3 m'
_space_group_IT_number 221
_space_group_name_Hall '-P 4 2 3'
loop_
_atom_site_label
_atom_site_type_symbol
_atom_site_fract_x
_atom_site_fract_y
_atom_site_fract_z
Cu1 Cu 0.000 0.000 0.000
Si1 Si 0.500 0.500 0.500
Sb1 Sb 0.000 0.500 0.500
```



(6)
# Cu2SiSb

Cu2SiSb after structural relaxation (GGA-PBE, Alexandria via LeMat-Bulk).

Results
Offset from the most stable computed form (kJ/mol of formula units): 86

```
data_Cu2SiSb
_cell_length_a 6.450
_cell_length_b 6.450
_cell_length_c 6.450
_cell_angle_alpha 90.00
_cell_angle_beta 90.00
_cell_angle_gamma 90.00
_space_group_name_H-M_alt 'F m -3 m'
_space_group_IT_number 225
_space_group_name_Hall '-F 4 2 3'
loop_
_atom_site_label
_atom_site_type_symbol
_atom_site_fract_x
_atom_site_fract_y
_atom_site_fract_z
Cu1 Cu 0.250 0.250 0.250
Si1 Si 0.000 0.000 0.000
Sb1 Sb 0.000 0.000 0.500
```



(7)
# Cu2SiSb

Cu2SiSb after structural relaxation (GGA-PBE, Alexandria via LeMat-Bulk).

Results
Offset from the most stable computed form (kJ/mol of formula units): 74

```
data_Cu2SiSb
_cell_length_a 3.899
_cell_length_b 3.899
_cell_length_c 8.651
_cell_angle_alpha 90.00
_cell_angle_beta 90.00
_cell_angle_gamma 90.00
_space_group_name_H-M_alt 'I -4 m 2'
_space_group_IT_number 119
_space_group_name_Hall 'I -4 -2'
loop_
_atom_site_label
_atom_site_type_symbol
_atom_site_fract_x
_atom_site_fract_y
_atom_site_fract_z
Cu1 Cu 0.000 0.000 0.000
Cu2 Cu 0.000 0.500 0.250
Si1 Si 0.000 0.000 0.500
Sb1 Sb 0.000 0.500 0.750
```



(8)
# CuSiSb2

CuSiSb2 after structural relaxation (GGA-PBE, Alexandria via LeMat-Bulk).

Results
Energy (eV for the cell shown): -61.76

```
data_CuSiSb2
_cell_length_a 6.997
_cell_length_b 6.997
_cell_length_c 6.997
_cell_angle_alpha 90.00
_cell_angle_beta 90.00
_cell_angle_gamma 90.00
_space_group_name_H-M_alt 'F -4 3 m'
_space_group_IT_number 216
_space_group_name_Hall 'F -4 2 3'
loop_
_atom_site_label
_atom_site_type_symbol
_atom_site_fract_x
_atom_site_fract_y
_atom_site_fract_z
Cu1 Cu 0.000 0.000 0.000
Si1 Si 0.250 0.250 0.250
Sb1 Sb 0.000 0.000 0.500
Sb2 Sb 0.250 0.250 0.750
```



(9)
# CuSiSb2Te

CuSiSb2Te after structural relaxation (GGA-PBE, Alexandria via LeMat-Bulk).

Results
Offset from the most stable computed form (kJ/mol of formula units): 0

```
data_CuSiSb2Te
_cell_length_a 5.000
_cell_length_b 5.000
_cell_length_c 5.288
_cell_angle_alpha 90.00
_cell_angle_beta 90.00
_cell_angle_gamma 90.00
_space_group_name_H-M_alt 'P 4/m m m'
_space_group_IT_number 123
_space_group_name_Hall '-P 4 2'
loop_
_atom_site_label
_atom_site_type_symbol
_atom_site_fract_x
_atom_site_fract_y
_atom_site_fract_z
Cu1 Cu 0.000 0.000 0.000
Si1 Si 0.500 0.500 0.500
Sb1 Sb 0.000 0.500 0.000
Te1 Te 0.000 0.000 0.500
```



(10)
# CuSiSb2Te

CuSiSb2Te after structural relaxation (GGA-PBE, Alexandria via LeMat-Bulk).

Results
Offset from the most stable computed form (kJ/mol of formula units): 65

```
data_CuSiSb2Te
_cell_length_a 5.211
_cell_length_b 5.211
_cell_length_c 5.196
_cell_angle_alpha 90.00
_cell_angle_beta 90.00
_cell_angle_gamma 90.00
_space_group_name_H-M_alt 'P 4/m m m'
_space_group_IT_number 123
_space_group_name_Hall '-P 4 2'
loop_
_atom_site_label
_atom_site_type_symbol
_atom_site_fract_x
_atom_site_fract_y
_atom_site_fract_z
Cu1 Cu 0.000 0.000 0.000
Si1 Si 0.500 0.500 0.500
Sb1 Sb 0.000 0.500 0.500
Te1 Te 0.500 0.500 0.000
```



(11)
# CuSiSbTe2

CuSiSbTe2 after structural relaxation (GGA-PBE, Alexandria via LeMat-Bulk).

Results
Offset from the most stable computed form (kJ/mol of formula units): 59

```
data_CuSiSbTe2
_cell_length_a 5.247
_cell_length_b 5.247
_cell_length_c 5.199
_cell_angle_alpha 90.00
_cell_angle_beta 90.00
_cell_angle_gamma 90.00
_space_group_name_H-M_alt 'P 4/m m m'
_space_group_IT_number 123
_space_group_name_Hall '-P 4 2'
loop_
_atom_site_label
_atom_site_type_symbol
_atom_site_fract_x
_atom_site_fract_y
_atom_site_fract_z
Cu1 Cu 0.000 0.000 0.000
Si1 Si 0.500 0.500 0.500
Sb1 Sb 0.500 0.500 0.000
Te1 Te 0.000 0.500 0.500
```



(12)
# CuSiSbTe2

CuSiSbTe2 after structural relaxation (GGA-PBE, Alexandria via LeMat-Bulk).

Results
Offset from the most stable computed form (kJ/mol of formula units): 0

```
data_CuSiSbTe2
_cell_length_a 5.206
_cell_length_b 5.206
_cell_length_c 4.924
_cell_angle_alpha 90.00
_cell_angle_beta 90.00
_cell_angle_gamma 90.00
_space_group_name_H-M_alt 'P 4/m m m'
_space_group_IT_number 123
_space_group_name_Hall '-P 4 2'
loop_
_atom_site_label
_atom_site_type_symbol
_atom_site_fract_x
_atom_site_fract_y
_atom_site_fract_z
Cu1 Cu 0.000 0.000 0.000
Si1 Si 0.500 0.500 0.500
Sb1 Sb 0.000 0.000 0.500
Te1 Te 0.000 0.500 0.000
```



(13)
# Zn2CuSiSb

Zn2CuSiSb after structural relaxation (GGA-PBE, Alexandria via LeMat-Bulk).

Results
Energy (eV for the cell shown): -13.07

```
data_Zn2CuSiSb
_cell_length_a 4.563
_cell_length_b 4.563
_cell_length_c 5.536
_cell_angle_alpha 90.00
_cell_angle_beta 90.00
_cell_angle_gamma 90.00
_space_group_name_H-M_alt 'P 4/m m m'
_space_group_IT_number 123
_space_group_name_Hall '-P 4 2'
loop_
_atom_site_label
_atom_site_type_symbol
_atom_site_fract_x
_atom_site_fract_y
_atom_site_fract_z
Zn1 Zn 0.000 0.500 0.000
Cu1 Cu 0.000 0.000 0.500
Si1 Si 0.500 0.500 0.000
Sb1 Sb 0.500 0.500 0.500
```



(14)
# Sm3CuSb

Sm3CuSb after structural relaxation (GGA-PBE, Alexandria via LeMat-Bulk).

Results
Energy (eV for the cell shown): -99.49

```
data_Sm3CuSb
_cell_length_a 15.798
_cell_length_b 4.132
_cell_length_c 8.641
_cell_angle_alpha 90.00
_cell_angle_beta 90.54
_cell_angle_gamma 90.00
_space_group_name_H-M_alt 'C 1 2/m 1'
_space_group_IT_number 12
loop_
_space_group_symop_operation_xyz
'x,y,z'
'-x,-y,-z'
'-x,y,-z'
'x,-y,z'
'x+1/2,y+1/2,z'
'-x+1/2,-y+1/2,-z'
'-x+1/2,y+1/2,-z'
'x+1/2,-y+1/2,z'
loop_
_atom_site_label
_atom_site_type_symbol
_atom_site_fract_x
_atom_site_fract_y
_atom_site_fract_z
Sm1 Sm 0.041 0.000 0.197
Sm2 Sm 0.104 0.500 0.547
Sm3 Sm 0.249 0.500 0.198
Cu1 Cu 0.212 0.000 0.438
Sb1 Sb 0.110 0.500 0.928
```



(15)
# Sm2CuSb4

Sm2CuSb4 after structural relaxation (GGA-PBE, Alexandria via LeMat-Bulk).

Results
Energy (eV for the cell shown): -35.07

```
data_Sm2CuSb4
_cell_length_a 4.394
_cell_length_b 4.394
_cell_length_c 9.552
_cell_angle_alpha 90.00
_cell_angle_beta 90.00
_cell_angle_gamma 90.00
_space_group_name_H-M_alt 'P -4 m 2'
_space_group_IT_number 115
loop_
_space_group_symop_operation_xyz
'x,y,z'
'y,-x,-z'
'-x,-y,z'
'-y,x,-z'
'-x,y,z'
'-y,-x,-z'
'x,-y,z'
'y,x,-z'
loop_
_atom_site_label
_atom_site_type_symbol
_atom_site_fract_x
_atom_site_fract_y
_atom_site_fract_z
Sm1 Sm 0.000 0.500 0.238
Cu1 Cu 0.500 0.500 0.000
Sb1 Sb 0.000 0.000 0.500
Sb2 Sb 0.000 0.500 0.859
Sb3 Sb 0.500 0.500 0.500
```



(16)
# SmCuSb3

SmCuSb3 after structural relaxation (GGA-PBE, Alexandria via LeMat-Bulk).

Results
Energy (eV for the cell shown): -93.11

```
data_SmCuSb3
_cell_length_a 12.619
_cell_length_b 6.266
_cell_length_c 6.258
_cell_angle_alpha 90.00
_cell_angle_beta 90.00
_cell_angle_gamma 90.00
_space_group_name_H-M_alt 'P b c m'
_space_group_IT_number 57
loop_
_space_group_symop_operation_xyz
'x,y,z'
'-x,-y,-z'
'-x,-y,z+1/2'
'x,y,-z+1/2'
'x,-y+1/2,-z'
'-x,y+1/2,z'
'-x,y+1/2,-z+1/2'
'x,-y+1/2,z+1/2'
loop_
_atom_site_label
_atom_site_type_symbol
_atom_site_fract_x
_atom_site_fract_y
_atom_site_fract_z
Sm1 Sm 0.193 0.001 0.250
Cu1 Cu 0.392 0.250 0.000
Sb1 Sb 0.002 0.250 0.000
Sb2 Sb 0.270 0.507 0.250
Sb3 Sb 0.445 0.636 0.750
```



(17)
# Sm4Cu3Sb8

Sm4Cu3Sb8 after structural relaxation (GGA-PBE, Alexandria via LeMat-Bulk).

Results
Energy (eV for the cell shown): -74.47

```
data_Sm4Cu3Sb8
_cell_length_a 4.371
_cell_length_b 4.371
_cell_length_c 19.556
_cell_angle_alpha 90.00
_cell_angle_beta 90.00
_cell_angle_gamma 90.00
_space_group_name_H-M_alt 'P -4 m 2'
_space_group_IT_number 115
loop_
_space_group_symop_operation_xyz
'x,y,z'
'y,-x,-z'
'-x,-y,z'
'-y,x,-z'
'-x,y,z'
'-y,-x,-z'
'x,-y,z'
'y,x,-z'
loop_
_atom_site_label
_atom_site_type_symbol
_atom_site_fract_x
_atom_site_fract_y
_atom_site_fract_z
Sm1 Sm 0.000 0.500 0.117
Sm2 Sm 0.000 0.500 0.628
Cu1 Cu 0.000 0.000 0.000
Cu2 Cu 0.000 0.000 0.500
Cu3 Cu 0.500 0.500 0.500
Sb1 Sb 0.000 0.000 0.244
Sb2 Sb 0.000 0.500 0.420
Sb3 Sb 0.000 0.500 0.931
Sb4 Sb 0.500 0.500 0.245
```



(18)
# Sm2CuSb

Sm2CuSb after structural relaxation (GGA-PBE, Alexandria via LeMat-Bulk).

Results
Energy (eV for the cell shown): -19.78

```
data_Sm2CuSb
_cell_length_a 5.064
_cell_length_b 5.064
_cell_length_c 3.978
_cell_angle_alpha 90.00
_cell_angle_beta 90.00
_cell_angle_gamma 90.00
_space_group_name_H-M_alt 'P 4/m m m'
_space_group_IT_number 123
_space_group_name_Hall '-P 4 2'
loop_
_atom_site_label
_atom_site_type_symbol
_atom_site_fract_x
_atom_site_fract_y
_atom_site_fract_z
Sm1 Sm 0.000 0.500 0.000
Cu1 Cu 0.000 0.000 0.500
Sb1 Sb 0.500 0.500 0.500
```



(19)
# SmCuSb2

SmCuSb2 after structural relaxation (GGA-PBE, Alexandria via LeMat-Bulk).

Results
Energy (eV for the cell shown): -39.39

```
data_SmCuSb2
_cell_length_a 4.361
_cell_length_b 4.361
_cell_length_c 9.974
_cell_angle_alpha 90.00
_cell_angle_beta 90.00
_cell_angle_gamma 90.00
_space_group_name_H-M_alt 'P 4/n m m'
_space_group_IT_number 129
loop_
_space_group_symop_operation_xyz
'x,y,z'
'-x,-y,-z'
'-y+1/2,x,z'
'y+1/2,-x,-z'
'-x+1/2,-y+1/2,z'
'x+1/2,y+1/2,-z'
'y,-x+1/2,z'
'-y,x+1/2,-z'
'x+1/2,-y,-z'
'-x+1/2,y,z'
'-y,-x,-z'
'y,x,z'
'-x,y+1/2,-z'
'x,-y+1/2,z'
'y+1/2,x+1/2,-z'
'-y+1/2,-x+1/2,z'
loop_
_atom_site_label
_atom_site_type_symbol
_atom_site_fract_x
_atom_site_fract_y
_atom_site_fract_z
Sm1 Sm 0.250 0.250 0.250
Cu1 Cu 0.250 0.750 0.000
Sb1 Sb 0.250 0.250 0.844
Sb2 Sb 0.250 0.750 0.500
```



(20)
# Sm3Cu3Sb4

Sm3Cu3Sb4 after structural relaxation (GGA-PBE, Alexandria via LeMat-Bulk).

Results
Energy (eV for the cell shown): -202.23

```
data_Sm3Cu3Sb4
_cell_length_a 9.706
_cell_length_b 9.706
_cell_length_c 9.706
_cell_angle_alpha 90.00
_cell_angle_beta 90.00
_cell_angle_gamma 90.00
_space_group_name_H-M_alt 'I -4 3 d'
_space_group_IT_number 220
_space_group_name_Hall 'I -4bd 2c 3'
loop_
_atom_site_label
_atom_site_type_symbol
_atom_site_fract_x
_atom_site_fract_y
_atom_site_fract_z
Sm1 Sm 0.000 0.250 0.875
Cu1 Cu 0.000 0.250 0.375
Sb1 Sb 0.080 0.420 0.580
```